[1]
VASP calculation (PBE-GGA) on Zr2CoGe2 after structural relaxation.

- energy of formation (eV/atom) = -0.64

abc: 6.336 6.336 4.255
angles: 90.00 90.00 90.00
Space group P4/mbm (No. 127)
Symmetry-distinct sites (fractional):
Zr (0.169, 0.331, 0.000) (multiplicity 4)
Co (0.000, 0.000, 0.500) (multiplicity 2)
Ge (0.143, 0.643, 0.500) (multiplicity 4)


[2]
VASP calculation (PBE-GGA) on HRhI2 after structural relaxation.

- offset from the most stable computed form (meV per atom) = 0.0

abc: 5.782 5.782 11.355
angles: 90.00 90.00 90.00
Space group I-42d (No. 122)
Symmetry-distinct sites (fractional):
H (0.000, 0.000, 0.000) (multiplicity 4)
Rh (0.000, 0.000, 0.500) (multiplicity 4)
I (0.221, 0.250, 0.125) (multiplicity 8)


[3]
VASP calculation (PBE-GGA) on Cs2ZrPdS4 after structural relaxation.

- uncorrected formation energy (meV per atom) = -1057

abc: 6.078 14.341 25.602
angles: 90.00 90.00 90.00
Space group Fddd (No. 70, origin choice 2)
Symmetry-distinct sites (fractional):
Cs (0.125, 0.125, 0.303) (multiplicity 16)
Zr (0.125, 0.125, 0.125) (multiplicity 8)
Pd (0.125, 0.125, 0.625) (multiplicity 8)
S (0.124, 0.280, 0.426) (multiplicity 32)


[4]
VASP calculation (PBE-GGA) on Sr2TlZnNi after structural relaxation.

- energy of formation (eV/atom) = -0.10

abc: 5.685 5.685 4.697
angles: 90.00 90.00 90.00
Space group P4/mmm (No. 123)
Symmetry-distinct sites (fractional):
Sr (0.000, 0.500, 0.000) (multiplicity 2)
Tl (0.000, 0.000, 0.500) (multiplicity 1)
Zn (0.500, 0.500, 0.500) (multiplicity 1)
Ni (0.500, 0.500, 0.000) (multiplicity 1)


[5]
VASP calculation (PBE-GGA) on TcNiSe2 after structural relaxation.

- offset from the most stable computed form (meV per atom) = 686.0
- uncorrected formation energy (meV per atom) = 409

abc: 2.659 4.034 6.200
angles: 90.00 90.15 90.00
Space group P2/m (No. 10)
Symmetry-distinct sites (fractional):
Tc (0.000, 0.000, 0.000) (multiplicity 1)
Ni (0.000, 0.000, 0.500) (multiplicity 1)
Se (0.011, 0.500, 0.255) (multiplicity 2)


[6]
VASP calculation (PBE-GGA) on LaDyAu after structural relaxation.

- offset from the most stable computed form (meV per atom) = 192.5
- energy of formation (eV/atom) = -0.40

abc: 7.222 7.222 7.222
angles: 90.00 90.00 90.00
Space group F-43m (No. 216)
Symmetry-distinct sites (fractional):
La (0.000, 0.000, 0.000) (multiplicity 4)
Dy (0.000, 0.000, 0.500) (multiplicity 4)
Au (0.250, 0.250, 0.750) (multiplicity 4)


The N(E_F) results, record by record, are as follows: 7.0, 10.0, 33.3, 4.2, 4.4, 17.0 states/eV per cell.